1.
Material: YTm2MoO6
Method: DFT, PBE with a Hubbard U
State: relaxed

Output
**N(E_F)**: 0.000 states/eV/f.u.
**E_tot**: -83.09 eV for the cell shown
**Crystal system**: trigonal
**Symmetry**: R3 (146)

Lattice parameters (Å, degrees): 5.9852 5.9852 5.9852 56.60 56.60 56.60
With the nearest neighbours (Å) after each atom.
Positions (direct):
Y 0.0000 0.0000 0.0000  6 O 2.22-2.37
Tm 0.2132 0.2132 0.2132  6 O 2.21-2.31
Tm 0.7197 0.7197 0.7197  6 O 2.19-2.36
Mo 0.5109 0.5109 0.5109  6 O 2.19-2.21
O 0.1170 0.4056 0.8052  2 Tm 2.19-2.31, 1 Mo 2.21, 1 Y 2.37
O 0.3183 0.8980 0.6048  1 Mo 2.19, 2 Tm 2.21-2.36, 1 Y 2.22
O 0.4056 0.8052 0.1170  2 Tm 2.19-2.31, 1 Mo 2.21, 1 Y 2.37
O 0.6048 0.3183 0.8980  1 Mo 2.19, 2 Tm 2.21-2.36, 1 Y 2.22
O 0.8052 0.1170 0.4056  2 Tm 2.19-2.31, 1 Mo 2.21, 1 Y 2.37
O 0.8980 0.6048 0.3183  1 Mo 2.19, 2 Tm 2.21-2.36, 1 Y 2.22

2.
Material: YTm2MoO8
Method: DFT, PBE with a Hubbard U
State: relaxed

Output
**N(E_F)**: 7.409 states/eV/f.u.
**E_tot**: -94.64 eV for the cell shown
**Crystal system**: orthorhombic
**Symmetry**: Cmmm (65)

Lattice parameters (Å, degrees): 5.0026 5.0026 6.7542 90.00 90.00 90.63
With the nearest neighbours (Å) after each atom.
Positions (direct):
Y 0.0000 0.0000 0.0000  6 O 2.18-2.35
Tm 0.5000 0.5000 0.2510  6 O 2.16-2.29
Tm 0.5000 0.5000 0.7490  6 O 2.16-2.29
Mo 0.0000 0.0000 0.5000  6 O 1.95-1.96
O 0.1856 0.8144 0.2881  1 Mo 1.95
O 0.1856 0.8144 0.7119  1 Mo 1.95
O 0.2782 0.2782 0.5000  1 Mo 1.96
O 0.3104 0.3104 0.0000  2 Tm 2.16, 1 Y 2.18
O 0.6896 0.6896 0.0000  2 Tm 2.16, 1 Y 2.18
O 0.7218 0.7218 0.5000  1 Mo 1.96
O 0.8144 0.1856 0.2881  1 Mo 1.95
O 0.8144 0.1856 0.7119  1 Mo 1.95

3.
Material: TmZnMoO6
Method: DFT, PBE with a Hubbard U
State: relaxed

Output
**N(E_F)**: 4.047 states/eV/f.u.
**E_tot**: -58.85 eV for the cell shown
**Crystal system**: trigonal
**Symmetry**: P312 (149)

Lattice parameters (Å, degrees): 5.4209 5.4209 4.4228 90.00 90.00 120.00
With the nearest neighbours (Å) after each atom.
Positions (direct):
Tm 0.0000 0.0000 0.0000  6 O 2.21
Zn 0.6667 0.3333 0.5000  6 O 2.18
Mo 0.3333 0.6667 0.0000  6 O 1.95
O 0.0258 0.3706 0.2397  1 Mo 1.95, 1 Zn 2.18
O 0.0258 0.6552 0.7603  1 Mo 1.95, 1 Zn 2.18
O 0.3448 0.3706 0.7603  1 Mo 1.95, 1 Zn 2.18
O 0.3448 0.9742 0.2397  1 Mo 1.95, 1 Zn 2.18
O 0.6294 0.6552 0.2397  1 Mo 1.95, 1 Zn 2.18
O 0.6294 0.9742 0.7603  1 Mo 1.95, 1 Zn 2.18

4.
Material: TmZnMoO4
Method: DFT, PBE with a Hubbard U
State: relaxed

Output
**E_tot**: -96.78 eV for the cell shown
**Crystal system**: orthorhombic
**Symmetry**: Imma (74)

Lattice parameters (Å, degrees): 6.3992 6.3992 6.3992 120.15 118.87 90.86
With the nearest neighbours (Å) after each atom.
Positions (direct):
Tm 0.0000 0.0000 0.0000  6 O 2.22-2.25
Tm 0.5000 0.0000 0.5000  6 O 2.22-2.25
Zn 0.3695 0.6195 0.7500  4 O 2.03-2.10
Zn 0.6305 0.3805 0.2500  4 O 2.03-2.10
Mo 0.0000 0.0000 0.5000  6 O 2.18-2.20
Mo 0.0000 0.5000 0.0000  6 O 2.18-2.20
O 0.2314 0.2496 0.9818  1 Zn 2.10, 2 Mo 2.20, 1 Tm 2.25
O 0.2322 0.7504 0.4818  1 Zn 2.10, 2 Mo 2.20, 1 Tm 2.25
O 0.2428 0.2302 0.4874  1 Zn 2.03, 1 Mo 2.18, 2 Tm 2.22
O 0.2428 0.7554 0.0126  1 Zn 2.03, 1 Mo 2.18, 2 Tm 2.22
O 0.7572 0.2446 0.9874  1 Zn 2.03, 1 Mo 2.18, 2 Tm 2.22
O 0.7572 0.7698 0.5126  1 Zn 2.03, 1 Mo 2.18, 2 Tm 2.22
O 0.7678 0.2496 0.5182  1 Zn 2.10, 2 Mo 2.20, 1 Tm 2.25
O 0.7686 0.7504 0.0182  1 Zn 2.10, 2 Mo 2.20, 1 Tm 2.25

5.
Material: UMoO5
Method: DFT, PBE with a Hubbard U
State: relaxed

Output
**Crystal system**: monoclinic
**Energy above the most stable polymorph in this dataset**: 0.0 kJ/mol of formula units
**Symmetry**: C2/c (15)

Lattice parameters (Å, degrees): 5.4949 5.4949 7.5640 109.69 109.69 73.14
With the nearest neighbours (Å) after each atom.
Positions (direct):
U 0.0381 0.9619 0.7500  2 O 1.92
U 0.9619 0.0381 0.2500  2 O 1.92
Mo 0.5000 0.5000 0.0000  6 O 1.98-2.10
Mo 0.5000 0.5000 0.5000  6 O 1.98-2.10
O 0.1795 0.7963 0.0373  1 Mo 2.05, 1 U 2.17
O 0.2039 0.2750 0.3637  1 U 1.92, 1 Mo 2.10
O 0.2037 0.8205 0.4627  1 Mo 2.05, 1 U 2.17
O 0.2750 0.2039 0.8637  1 U 1.92, 1 Mo 2.10
O 0.4119 0.5881 0.7500  2 Mo 1.98
O 0.5881 0.4119 0.2500  2 Mo 1.98
O 0.7250 0.7961 0.1363  1 U 1.92, 1 Mo 2.10
O 0.7963 0.1795 0.5373  1 Mo 2.05, 1 U 2.17
O 0.7961 0.7250 0.6363  1 U 1.92, 1 Mo 2.10
O 0.8205 0.2037 0.9627  1 Mo 2.05, 1 U 2.17

6.
Material: UMoO5
Method: DFT, PBE with a Hubbard U
State: relaxed

Output
**N(E_F)**: 2.525 states/eV/f.u.
**Crystal system**: orthorhombic
**Energy above the most stable polymorph in this dataset**: 24.3 kJ/mol of formula units
**Symmetry**: Pcca (54)

Lattice parameters (Å, degrees): 7.4685 4.1431 13.0119 90.00 90.00 90.00
With the nearest neighbours (Å) after each atom.
Positions (direct):
U 0.2500 0.0000 0.0205  4 O 2.07-2.18
U 0.2500 0.0000 0.5205  4 O 2.07-2.18
U 0.7500 0.0000 0.4795  4 O 2.07-2.18
U 0.7500 0.0000 0.9795  4 O 2.07-2.18
Mo 0.0000 0.0967 0.2500  1 O 1.74
Mo 0.0000 0.9033 0.7500  1 O 1.74
Mo 0.5000 0.0967 0.7500  1 O 1.74
Mo 0.5000 0.9033 0.2500  1 O 1.74
O 0.0000 0.4824 0.7500  1 Mo 1.74
O 0.0000 0.5176 0.2500  1 Mo 1.74
O 0.0440 0.0125 0.4017  1 Mo 2.03, 1 U 2.18
O 0.0440 0.9875 0.9017  1 Mo 2.03, 1 U 2.18
O 0.2500 0.0000 0.2035  2 Mo 2.00
O 0.2500 0.0000 0.7035  2 Mo 2.00
O 0.2500 0.5000 0.0238  2 U 2.07
O 0.2500 0.5000 0.5238  2 U 2.07
O 0.4560 0.0125 0.9017  1 Mo 2.03, 1 U 2.18
O 0.4560 0.9875 0.4017  1 Mo 2.03, 1 U 2.18
O 0.5000 0.4824 0.2500  1 Mo 1.74
O 0.5000 0.5176 0.7500  1 Mo 1.74
O 0.5440 0.0125 0.5983  1 Mo 2.03, 1 U 2.18
O 0.5440 0.9875 0.0983  1 Mo 2.03, 1 U 2.18
O 0.7500 0.0000 0.2965  2 Mo 2.00
O 0.7500 0.0000 0.7965  2 Mo 2.00
O 0.7500 0.5000 0.4762  2 U 2.07
O 0.7500 0.5000 0.9762  2 U 2.07
O 0.9560 0.0125 0.0983  1 Mo 2.03, 1 U 2.18
O 0.9560 0.9875 0.5983  1 Mo 2.03, 1 U 2.18

7.
Material: UMo5O16
Method: DFT, PBE with a Hubbard U
State: relaxed

Output
**N(E_F)**: 3.009 states/eV/f.u.
**E_tot**: -166.68 eV for the cell shown
**Crystal system**: monoclinic
**Symmetry**: P2 (3)

Lattice parameters (Å, degrees): 7.3654 4.1209 10.0557 90.00 91.32 90.00
With the nearest neighbours (Å) after each atom.
Positions (direct):
U 0.0000 0.0000 0.0000  2 O 2.06
Mo 0.2372 0.9078 0.6857  1 O 1.74
Mo 0.2582 0.0842 0.3196  3 O 1.74-1.85
Mo 0.5000 0.9053 0.0000  1 O 1.75
Mo 0.7418 0.0842 0.6804  3 O 1.74-1.85
Mo 0.7628 0.9078 0.3143  1 O 1.74
O 0.0000 0.5001 0.0000  2 U 2.06
O 0.0095 0.0003 0.2414  2 Mo 2.01
O 0.1870 0.0035 0.4901  2 Mo 1.83-2.03
O 0.2318 0.4860 0.6777  1 Mo 1.74
O 0.2555 0.5070 0.3133  1 Mo 1.74
O 0.2836 0.9867 0.8777  2 Mo 1.98-2.02
O 0.2875 0.9976 0.1191  2 Mo 2.03-2.06
O 0.4963 0.0076 0.6549  2 Mo 1.85-1.98
O 0.5000 0.4816 0.0000  1 Mo 1.75
O 0.5037 0.0076 0.3451  2 Mo 1.85-1.98
O 0.7125 0.9976 0.8809  2 Mo 2.03-2.06
O 0.7164 0.9867 0.1223  2 Mo 1.98-2.02
O 0.7445 0.5070 0.6867  1 Mo 1.74
O 0.7682 0.4860 0.3223  1 Mo 1.74
O 0.8130 0.0035 0.5099  2 Mo 1.83-2.03
O 0.9905 0.0003 0.7586  2 Mo 2.01

8.
Material: UVMoO6
Method: DFT, PBE with a Hubbard U
State: relaxed

Output
**E_tot**: -154.22 eV for the cell shown
**Crystal system**: trigonal
**Symmetry**: P-31c (163)

Lattice parameters (Å, degrees): 5.3625 5.3625 9.1641 90.00 90.00 120.00
With the nearest neighbours (Å) after each atom.
Positions (direct):
U 0.3333 0.6667 0.2500  6 O 2.10
U 0.6667 0.3333 0.7500  6 O 2.10
V 0.3333 0.6667 0.7500  6 O 2.05
V 0.6667 0.3333 0.2500  6 O 2.05
Mo 0.0000 0.0000 0.0000  6 O 2.19
Mo 0.0000 0.0000 0.5000  6 O 2.19
O 0.0077 0.3434 0.6320  1 V 2.05, 1 U 2.10, 1 Mo 2.19
O 0.0077 0.6643 0.8680  1 V 2.05, 1 U 2.10, 1 Mo 2.19
O 0.3357 0.3434 0.8680  1 V 2.05, 1 U 2.10, 1 Mo 2.19
O 0.3357 0.9923 0.6320  1 V 2.05, 1 U 2.10, 1 Mo 2.19
O 0.3434 0.0077 0.1320  1 V 2.05, 1 U 2.10, 1 Mo 2.19
O 0.3434 0.3357 0.3680  1 V 2.05, 1 U 2.10, 1 Mo 2.19
O 0.6566 0.6643 0.6320  1 V 2.05, 1 U 2.10, 1 Mo 2.19
O 0.6566 0.9923 0.8680  1 V 2.05, 1 U 2.10, 1 Mo 2.19
O 0.6643 0.0077 0.3680  1 V 2.05, 1 U 2.10, 1 Mo 2.19
O 0.6643 0.6566 0.1320  1 V 2.05, 1 U 2.10, 1 Mo 2.19
O 0.9923 0.3357 0.1320  1 V 2.05, 1 U 2.10, 1 Mo 2.19
O 0.9923 0.6566 0.3680  1 V 2.05, 1 U 2.10, 1 Mo 2.19

9.
Material: YUMoO6
Method: DFT, PBE with a Hubbard U
State: relaxed

Output
**E_tot**: -158.46 eV for the cell shown
**Crystal system**: trigonal
**Symmetry**: P-31c (163)

Lattice parameters (Å, degrees): 5.7141 5.7141 8.8814 90.00 90.00 120.00
With the nearest neighbours (Å) after each atom.
Positions (direct):
Y 0.3333 0.6667 0.2500  6 O 2.28
Y 0.6667 0.3333 0.7500  6 O 2.28
U 0.3333 0.6667 0.7500  6 O 2.10
U 0.6667 0.3333 0.2500  6 O 2.10
Mo 0.0000 0.0000 0.0000  6 O 2.22
Mo 0.0000 0.0000 0.5000  6 O 2.22
O 0.0246 0.3447 0.6285  1 U 2.10, 1 Mo 2.22, 1 Y 2.28
O 0.0246 0.6799 0.8715  1 U 2.10, 1 Mo 2.22, 1 Y 2.28
O 0.3201 0.3447 0.8715  1 U 2.10, 1 Mo 2.22, 1 Y 2.28
O 0.3201 0.9754 0.6285  1 U 2.10, 1 Mo 2.22, 1 Y 2.28
O 0.3447 0.0246 0.1285  1 U 2.10, 1 Mo 2.22, 1 Y 2.28
O 0.3447 0.3201 0.3715  1 U 2.10, 1 Mo 2.22, 1 Y 2.28
O 0.6553 0.6799 0.6285  1 U 2.10, 1 Mo 2.22, 1 Y 2.28
O 0.6553 0.9754 0.8715  1 U 2.10, 1 Mo 2.22, 1 Y 2.28
O 0.6799 0.0246 0.3715  1 U 2.10, 1 Mo 2.22, 1 Y 2.28
O 0.6799 0.6553 0.1285  1 U 2.10, 1 Mo 2.22, 1 Y 2.28
O 0.9754 0.3201 0.1285  1 U 2.10, 1 Mo 2.22, 1 Y 2.28
O 0.9754 0.6553 0.3715  1 U 2.10, 1 Mo 2.22, 1 Y 2.28

In Mg/m³, the calculated density values for the records above are, in order, 7.35 6.39 6.29 7.02 6.93 6.83 5.30 7.00 6.86.